{
  "formula": "MnSnMoF6",
  "functional": "PBE with a Hubbard U",
  "state": "optimized geometry",
  "dft_energy_ev_per_atom": -5.50,
  "total_magnetization_mub_per_fu": 8.876,
  "cell": [[5.787, 0.000, 0.000], [-2.893, 5.011, 0.000], [0.000, 0.000, 10.953]],
  "species": ["Mn", "Mn", "Sn", "Sn", "Mo", "Mo", "F", "F", "F", "F", "F", "F", "F", "F", "F", "F", "F", "F"],
  "fractional_positions": [[0.333, 0.667, 0.250], [0.667, 0.333, 0.750], [0.000, 0.000, 0.000], [0.000, 0.000, 0.500], [0.333, 0.667, 0.750], [0.667, 0.333, 0.250], [0.006, 0.362, 0.650], [0.006, 0.644, 0.850], [0.356, 0.362, 0.850], [0.356, 0.994, 0.650], [0.362, 0.006, 0.150], [0.362, 0.356, 0.350], [0.638, 0.644, 0.650], [0.638, 0.994, 0.850], [0.644, 0.006, 0.350], [0.644, 0.638, 0.150], [0.994, 0.356, 0.150], [0.994, 0.638, 0.350]]
}